[1]
Entry from Alexandria: a geometry-optimized Hf2Sc2Al7 structure (PBE).

Cell lengths 9.409, 9.408, 5.429 Å; angles 90.00, 120.40, 90.00 degrees
Space group C2/m (No. 12)
Asymmetric unit:
Hf  0.127  0.000  0.372 (multiplicity 4)
Sc  0.000  0.319  0.000 (multiplicity 4)
Al  0.000  0.500  0.500 (multiplicity 2)
Al  0.167  0.258  0.661 (multiplicity 8)
Al  0.223  0.000  0.957 (multiplicity 4)

Values from the calculation:
M_tot ... 0.00 μB/cell
E ... -122.87 eV per cell
V ... 207.2 Å³/f.u.

=====

[2]
Entry from Alexandria: a geometry-optimized InCuAu structure (PBE).

Cell lengths 6.171, 6.171, 6.171 Å; angles 90.00, 90.00, 90.00 degrees
Space group F-43m (No. 216)
Asymmetric unit:
In  0.000  0.000  0.000 (multiplicity 4)
Cu  0.250  0.250  0.750 (multiplicity 4)
Au  0.000  0.000  0.500 (multiplicity 4)

Values from the calculation:
M_tot ... 0.00 μB/cell
E ... -40.91 eV per cell
V ... 58.8 Å³/f.u.

=====

[3]
Entry from Alexandria: a geometry-optimized TbPd6Au2 structure (PBE).

Cell lengths 4.5185, 4.5185, 28.2637 Å; angles 90.00, 90.00, 120.00 degrees
Space group R-3m (No. 166, hexagonal axes)
Asymmetric unit:
Tb  0.0000  0.0000  0.0000 (multiplicity 3)
Pd  0.0000  0.0000  0.1978 (multiplicity 6)
Pd  0.0000  0.0000  0.2953 (multiplicity 6)
Pd  0.0000  0.0000  0.4032 (multiplicity 6)
Au  0.0000  0.0000  0.1023 (multiplicity 6)

Values from the calculation:
M_tot ... 0.00 μB/cell
E ... -132.75 eV per cell
V ... 166.6 Å³/f.u.

=====

[4]
Entry from Alexandria: a geometry-optimized Sc3PbSO structure (PBE).

Cell lengths 8.491, 3.610, 8.515 Å; angles 90.00, 104.73, 90.00 degrees
Space group P2_1/m (No. 11)
Asymmetric unit:
Sc  0.057  0.250  0.358 (multiplicity 2)
Sc  0.342  0.250  0.980 (multiplicity 2)
Sc  0.377  0.750  0.647 (multiplicity 2)
Pb  0.307  0.750  0.272 (multiplicity 2)
S  0.160  0.250  0.668 (multiplicity 2)
O  0.412  0.750  0.900 (multiplicity 2)

Values from the calculation:
Uncorrected formation energy ... -10.172 eV/f.u.
M_tot ... 0.00 μB/cell
V ... 126.2 Å³/f.u.

=====

[5]
Entry from Alexandria: a geometry-optimized YAs2Se structure (PBE).

Cell lengths 3.953, 4.141, 5.857 Å; angles 90.00, 109.18, 90.00 degrees
Space group Pm (No. 6)
Asymmetric unit:
Y  0.000  0.000  0.000 (multiplicity 1)
As  0.038  0.500  0.395 (multiplicity 1)
As  0.680  0.000  0.429 (multiplicity 1)
Se  0.445  0.500  0.865 (multiplicity 1)

Values from the calculation:
Uncorrected formation energy ... -3.553 eV/f.u.
M_tot ... 0.00 μB/cell
V ... 90.6 Å³/f.u.

=====

[6]
Entry from Alexandria: a geometry-optimized CdSbBr2 structure (PBE).

Cell lengths 3.9313, 3.9313, 28.2518 Å; angles 90.00, 90.00, 120.00 degrees
Space group R3m (No. 160, hexagonal axes)
Asymmetric unit:
Cd  0.0000  0.0000  0.0000 (multiplicity 3)
Sb  0.0000  0.0000  0.7410 (multiplicity 3)
Br  0.0000  0.0000  0.2737 (multiplicity 3)
Br  0.0000  0.0000  0.4800 (multiplicity 3)

Values from the calculation:
Uncorrected formation energy ... -0.833 eV/f.u.
M_tot ... 0.00 μB/cell
V ... 126.0 Å³/f.u.

=====

[7]
Entry from Alexandria: a geometry-optimized Mg2NbGaGe structure (PBE).

Cell lengths 5.313, 5.313, 5.011 Å; angles 90.00, 90.00, 90.00 degrees
Space group P4/mmm (No. 123)
Asymmetric unit:
Mg  0.000  0.500  0.000 (multiplicity 2)
Nb  0.000  0.000  0.000 (multiplicity 1)
Ga  0.000  0.000  0.500 (multiplicity 1)
Ge  0.500  0.500  0.500 (multiplicity 1)

Values from the calculation:
M_tot ... 1.59 μB/cell
E ... -15.39 eV per cell
V ... 141.4 Å³/f.u.

=====

[8]
Entry from Alexandria: a geometry-optimized Dy2Ti12Cu9O36 structure (PBE).

Cell lengths 10.5142, 10.5142, 6.4554 Å; angles 90.00, 90.00, 120.00 degrees
Space group P-3 (No. 147)
Asymmetric unit:
Dy  0.3333  0.6667  0.1700 (multiplicity 2)
Ti  0.0000  0.0000  0.0000 (multiplicity 1)
Ti  0.0000  0.5000  0.0000 (multiplicity 3)
Ti  0.1574  0.3188  0.3376 (multiplicity 6)
Ti  0.3333  0.6667  0.6585 (multiplicity 2)
Cu  0.0000  0.5000  0.5000 (multiplicity 3)
Cu  0.1685  0.3373  0.8396 (multiplicity 6)
O  0.0164  0.1649  0.1695 (multiplicity 6)
O  0.0445  0.2695  0.5896 (multiplicity 6)
O  0.0755  0.4501  0.2498 (multiplicity 6)
O  0.1188  0.7070  0.0882 (multiplicity 6)
O  0.1767  0.5274  0.8550 (multiplicity 6)
O  0.1929  0.6833  0.4833 (multiplicity 6)

Values from the calculation:
Uncorrected formation energy ... -135.010 eV/f.u.
M_tot ... 8.94 μB/cell
V ... 618.0 Å³/f.u.

=====

[9]
Entry from Alexandria: a geometry-optimized PmFe2PN structure (PBE).

Cell lengths 3.662, 10.515, 6.743 Å; angles 90.00, 90.00, 90.00 degrees
Space group Cmcm (No. 63)
Asymmetric unit:
Pm  0.000  0.047  0.250 (multiplicity 4)
Fe  0.000  0.334  0.055 (multiplicity 8)
P  0.000  0.228  0.750 (multiplicity 4)
N  0.000  0.500  0.000 (multiplicity 4)

Values from the calculation:
Uncorrected formation energy ... -4.454 eV/f.u.
M_tot ... 0.00 μB/cell
V ... 64.9 Å³/f.u.

=====

[10]
Entry from Alexandria: a geometry-optimized Pd2WAu structure (PBE).

Cell lengths 2.8335, 2.8335, 27.8745 Å; angles 90.00, 90.00, 120.00 degrees
Space group R-3m (No. 166, hexagonal axes)
Asymmetric unit:
Pd  0.0000  0.0000  0.2459 (multiplicity 6)
W  0.0000  0.0000  0.5000 (multiplicity 3)
Au  0.0000  0.0000  0.0000 (multiplicity 3)

Values from the calculation:
M_tot ... 0.00 μB/cell
E ... -80.08 eV per cell
V ... 64.6 Å³/f.u.

=====

[11]
Entry from Alexandria: a geometry-optimized Sr2LaBi structure (PBE).

Cell lengths 10.218, 10.218, 6.898 Å; angles 90.00, 90.00, 90.00 degrees
Space group I-42d (No. 122)
Asymmetric unit:
Sr  0.187  0.250  0.125 (multiplicity 8)
La  0.000  0.000  0.500 (multiplicity 4)
Bi  0.000  0.000  0.000 (multiplicity 4)

Values from the calculation:
M_tot ... 0.00 μB/cell
E ... -51.13 eV per cell
V ... 180.1 Å³/f.u.

=====

[12]
Entry from Alexandria: a geometry-optimized PmAl3Cu structure (PBE).

Cell lengths 8.307, 4.145, 10.862 Å; angles 90.00, 90.00, 90.00 degrees
Space group Pnma (No. 62)
Asymmetric unit:
Pm  0.181  0.250  0.005 (multiplicity 4)
Al  0.062  0.250  0.590 (multiplicity 4)
Al  0.116  0.750  0.786 (multiplicity 4)
Al  0.141  0.750  0.218 (multiplicity 4)
Cu  0.104  0.250  0.361 (multiplicity 4)

Values from the calculation:
M_tot ... 0.00 μB/cell
E ... -88.73 eV per cell
V ... 93.5 Å³/f.u.

=====

[13]
Entry from Alexandria: a geometry-optimized In2FeOs structure (PBE).

Cell lengths 3.0337, 3.0337, 26.9053 Å; angles 90.00, 90.00, 120.00 degrees
Space group R3m (No. 160, hexagonal axes)
Asymmetric unit:
In  0.0000  0.0000  0.0000 (multiplicity 3)
In  0.0000  0.0000  0.2334 (multiplicity 3)
Fe  0.0000  0.0000  0.4847 (multiplicity 3)
Os  0.0000  0.0000  0.7523 (multiplicity 3)

Values from the calculation:
M_tot ... 6.61 μB/cell
E ... -70.04 eV per cell
V ... 71.5 Å³/f.u.

=====

[14]
Entry from Alexandria: a geometry-optimized Pr3PuTl4S8 structure (PBE).

Cell lengths 8.3811, 8.3811, 22.4310 Å; angles 90.00, 90.00, 120.00 degrees
Space group R-3m (No. 166, hexagonal axes)
Asymmetric unit:
Pr  0.0000  0.5000  0.0000 (multiplicity 9)
Pu  0.0000  0.0000  0.0000 (multiplicity 3)
Tl  0.0000  0.0000  0.5000 (multiplicity 3)
Tl  0.0000  0.5000  0.5000 (multiplicity 9)
S  0.0000  0.0000  0.2644 (multiplicity 6)
S  0.0072  0.5036  0.7342 (multiplicity 18)

Values from the calculation:
Uncorrected formation energy ... -21.977 eV/f.u.
M_tot ... 15.00 μB/cell
V ... 454.8 Å³/f.u.

=====

[15]
Entry from Alexandria: a geometry-optimized BaNdPdPt structure (PBE).

Cell lengths 7.460, 7.460, 7.460 Å; angles 90.00, 90.00, 90.00 degrees
Space group F-43m (No. 216)
Asymmetric unit:
Ba  0.000  0.000  0.000 (multiplicity 4)
Nd  0.000  0.000  0.500 (multiplicity 4)
Pd  0.250  0.250  0.750 (multiplicity 4)
Pt  0.250  0.250  0.250 (multiplicity 4)

Values from the calculation:
M_tot ... 0.00 μB/cell
E ... -82.02 eV per cell
V ... 103.8 Å³/f.u.

=====

[16]
Entry from Alexandria: a geometry-optimized SbTeH structure (PBE).

Cell lengths 3.071, 3.071, 8.297 Å; angles 89.53, 88.84, 90.00 degrees
Space group P1 (No. 1)
Asymmetric unit:
Sb  0.000  0.000  0.000 (multiplicity 1)
Te  0.975  0.984  0.436 (multiplicity 1)
H  0.010  0.004  0.788 (multiplicity 1)

Values from the calculation:
M_tot ... 0.00 μB/cell
E ... -10.06 eV per cell
V ... 78.2 Å³/f.u.

=====

[17]
Entry from Alexandria: a geometry-optimized Li2AgAu2 structure (PBE).

Cell lengths 3.808, 3.808, 12.503 Å; angles 90.00, 90.00, 90.00 degrees
Space group I4/mmm (No. 139)
Asymmetric unit:
Li  0.000  0.500  0.250 (multiplicity 4)
Ag  0.000  0.000  0.000 (multiplicity 2)
Au  0.000  0.000  0.391 (multiplicity 4)

Values from the calculation:
M_tot ... 0.00 μB/cell
E ... -28.34 eV per cell
V ... 90.7 Å³/f.u.

=====

[18]
Entry from Alexandria: a geometry-optimized Ta2AlZnH structure (PBE).

Cell lengths 4.013, 4.013, 4.301 Å; angles 90.00, 90.00, 90.00 degrees
Space group P4/mmm (No. 123)
Asymmetric unit:
Ta  0.000  0.500  0.000 (multiplicity 2)
Al  0.000  0.000  0.500 (multiplicity 1)
Zn  0.500  0.500  0.500 (multiplicity 1)
H  0.500  0.500  0.000 (multiplicity 1)

Values from the calculation:
M_tot ... 0.00 μB/cell
E ... -32.12 eV per cell
V ... 69.3 Å³/f.u.

=====

[19]
Entry from Alexandria: a geometry-optimized NdAgSn2S4 structure (PBE).

Cell lengths 6.886, 4.099, 7.272 Å; angles 90.00, 109.50, 90.00 degrees
Space group P2/m (No. 10)
Asymmetric unit:
Nd  0.000  0.000  0.000 (multiplicity 1)
Ag  0.500  0.500  0.000 (multiplicity 1)
Sn  0.000  0.500  0.500 (multiplicity 1)
Sn  0.500  0.000  0.500 (multiplicity 1)
S  0.242  0.500  0.243 (multiplicity 2)
S  0.252  0.000  0.759 (multiplicity 2)

Values from the calculation:
Uncorrected formation energy ... -6.285 eV/f.u.
M_tot ... 0.00 μB/cell
V ... 193.5 Å³/f.u.

=====

[20]
Entry from Alexandria: a geometry-optimized Ba5Cd2Sb5F structure (PBE).

Cell lengths 4.986, 23.611, 15.590 Å; angles 90.00, 90.00, 90.00 degrees
Space group Cmcm (No. 63)
Asymmetric unit:
Ba  0.000  0.000  0.000 (multiplicity 4)
Ba  0.000  0.095  0.250 (multiplicity 4)
Ba  0.000  0.101  0.750 (multiplicity 4)
Ba  0.000  0.274  0.618 (multiplicity 8)
Cd  0.000  0.367  0.089 (multiplicity 8)
Sb  0.000  0.149  0.011 (multiplicity 8)
Sb  0.000  0.293  0.250 (multiplicity 4)
Sb  0.000  0.490  0.158 (multiplicity 8)
F  0.000  0.349  0.750 (multiplicity 4)

Values from the calculation:
Uncorrected formation energy ... -15.924 eV/f.u.
M_tot ... 0.00 μB/cell
V ... 458.8 Å³/f.u.

=====

[21]
Entry from Alexandria: a geometry-optimized Bi2Se2Br structure (PBE).

Cell lengths 5.177, 5.177, 11.890 Å; angles 90.00, 90.00, 90.00 degrees
Space group I4/mmm (No. 139)
Asymmetric unit:
Bi  0.000  0.000  0.143 (multiplicity 4)
Se  0.000  0.500  0.250 (multiplicity 4)
Br  0.000  0.000  0.500 (multiplicity 2)

Values from the calculation:
Uncorrected formation energy ... -1.414 eV/f.u.
M_tot ... 0.00 μB/cell
V ... 159.4 Å³/f.u.